[1]
PBE InFeAu2, relaxed; density of states at the Fermi level = 0.6364 states/eV per atom; formation energy = 119 meV/atom; crystal system = monoclinic; SG = C2/m, No. 12
1.0
-3.311 -3.364 -0.800
-0.772 -4.214 -2.137
1.092 -3.240 4.128
Au Fe In
2 1 1
Cartesian
-1.436 -5.413 0.711
1.032 -3.236 4.013
-2.244 -8.114 0.893
-0.748 -2.705 0.298

=====

[2]
PBE InFeAu2, relaxed; density of states at the Fermi level = 0.6517 states/eV per atom; formation energy = 109 meV/atom; crystal system = monoclinic; SG = Cm, No. 8
1.0
5.001 0.008 0.023
4.025 2.968 0.023
1.190 0.392 4.798
Au Fe In
2 1 1
Cartesian
9.015 2.973 0.077
7.717 2.545 3.516
5.134 1.693 2.524
2.484 0.819 1.196

=====

[3]
PBE InFeAu, relaxed; density of states at the Fermi level = 0.7087 states/eV per atom; formation energy = 148 meV/atom; crystal system = tetragonal; SG = I4mm, No. 107
1.0
-5.236 -2.994 -1.553
-4.874 -3.637 1.346
-2.170 1.937 0.700
In Au Fe
1 1 1
Cartesian
-7.535 -3.853 0.087
-9.998 -6.510 -0.195
-4.857 -0.963 0.393

=====

[4]
PBE InFeAu2, relaxed; density of states at the Fermi level = 0.5882 states/eV per atom; formation energy = 120 meV/atom; crystal system = orthorhombic; SG = Imm2, No. 44
1.0
5.541 0.058 0.071
2.531 4.929 -0.071
-3.459 -3.427 2.645
In Au Fe
1 2 1
Cartesian
1.634 2.047 1.287
0.004 0.003 0.000
2.950 -0.505 1.358
4.061 2.509 0.000

=====

[5]
PBE InFeAu, relaxed; density of states at the Fermi level = 1.2461 states/eV per atom; formation energy = 251 meV/atom; crystal system = cubic; SG = F-43m, No. 216
1.0
4.448 0.000 0.000
2.224 3.852 0.000
2.224 1.284 3.632
Au In Fe
1 1 1
Cartesian
6.672 3.852 2.724
4.448 2.568 1.816
0.000 0.000 0.000

=====

[6]
PBE InFeAu4, relaxed; density of states at the Fermi level = 1.2503 states/eV per atom; formation energy = 277 meV/atom; crystal system = cubic; SG = F-43m, No. 216
1.0
-5.303 -0.031 1.512
-3.955 0.525 -3.806
-3.202 -4.309 -1.263
Au Fe In
4 1 1
Cartesian
-6.273 -3.581 -1.965
-4.676 -1.432 -1.335
-7.321 -1.447 -0.581
-6.649 -1.170 -3.234
-9.345 -2.861 -2.668
0.000 0.000 0.000

=====

[7]
PBE InFe4Au, relaxed; density of states at the Fermi level = 0.7261 states/eV per atom; formation energy = 151 meV/atom; crystal system = cubic; SG = F-43m, No. 216
1.0
0.000 3.504 3.504
3.504 0.000 3.504
3.504 3.504 0.000
Fe Au In
4 1 1
Cartesian
4.376 2.633 4.376
2.633 2.633 2.633
2.633 4.376 4.376
4.376 4.376 2.633
0.000 0.000 0.000
5.256 5.256 5.256

=====

[8]
PBE InFeAu2, relaxed; density of states at the Fermi level = 0.5289 states/eV per atom; formation energy = 106 meV/atom; crystal system = tetragonal; SG = P4mm, No. 99
1.0
2.991 -0.009 0.000
0.009 2.991 0.000
0.000 0.000 7.859
In Au Fe
1 2 1
Cartesian
1.500 1.491 5.750
1.500 1.491 2.153
0.000 0.000 0.039
0.000 0.000 3.846

=====

[9]
PBE InFeAu2, relaxed; density of states at the Fermi level = 0.7704 states/eV per atom; formation energy = 188 meV/atom; crystal system = trigonal; SG = R-3m, No. 166
1.0
-2.148 6.124 -5.513
-4.824 4.293 -5.550
-4.417 6.523 -3.232
In Au Fe
1 2 1
Cartesian
-8.542 12.705 -10.721
-11.304 16.814 -14.188
-5.779 8.596 -7.254
-2.847 4.235 -3.574

=====

[10]
PBE InFe2Au2, relaxed; density of states at the Fermi level = 0.7499 states/eV per atom; formation energy = 208 meV/atom; crystal system = tetragonal; SG = P4/mbm, No. 127
1.0
7.738 0.000 0.000
0.000 7.738 0.000
0.000 0.000 2.939
Au Fe In
4 4 2
Cartesian
2.520 6.389 0.000
6.389 5.217 0.000
5.217 1.348 0.000
1.348 2.520 0.000
2.982 0.886 1.470
4.755 6.851 1.470
0.886 4.755 1.470
6.851 2.982 1.470
0.000 0.000 0.000
3.869 3.869 0.000

=====

[11]
PBE InFeAu2, relaxed; density of states at the Fermi level = 0.5125 states/eV per atom; formation energy = 201 meV/atom; crystal system = trigonal; SG = R3m, No. 160
1.0
-7.031 2.182 -5.320
-5.532 0.291 -7.197
-7.461 -0.837 -5.111
Au In Fe
2 1 1
Cartesian
-4.889 0.399 -4.304
-20.010 1.634 -17.614
-15.104 1.234 -13.296
-10.057 0.821 -8.853

=====

[12]
PBE In2Fe2Au, relaxed; density of states at the Fermi level = 0.7572 states/eV per atom; formation energy = 180 meV/atom; crystal system = tetragonal; SG = P4/mbm, No. 127
1.0
6.946 0.000 0.000
0.000 6.946 0.000
0.000 0.000 3.623
Fe In Au
4 4 2
Cartesian
0.818 2.655 0.000
6.128 4.290 0.000
4.290 0.818 0.000
2.655 6.128 0.000
5.719 2.246 1.811
4.699 5.719 1.811
1.227 4.699 1.811
2.246 1.227 1.811
0.000 0.000 0.000
3.473 3.473 0.000

=====

[13]
PBE InFeAu3, relaxed; density of states at the Fermi level = 0.5503 states/eV per atom; formation energy = 495 meV/atom; crystal system = cubic; energy relative to the lowest polymorph listed for this composition = 0.00 kcal/mol of atoms; SG = Pm-3m, No. 221
1.0
-4.193 2.298 -1.191
0.688 -1.196 -4.731
-2.495 -4.192 0.697
Fe Au In
1 3 1
Cartesian
0.000 0.000 0.000
0.344 -0.598 -2.365
-2.097 1.149 -0.595
-1.248 -2.096 0.349
-3.000 -1.545 -2.612

=====

[14]
PBE InFe3Au, relaxed; density of states at the Fermi level = 1.6610 states/eV per atom; formation energy = 1562 meV/atom; crystal system = cubic; SG = Pm-3m, No. 221
1.0
-0.591 3.016 -3.606
1.825 -3.202 -2.977
-4.332 -1.760 -0.762
Fe Au In
3 1 1
Cartesian
0.913 -1.601 -1.488
-2.166 -0.880 -0.381
-0.295 1.508 -1.803
-1.549 -0.973 -3.673
0.000 0.000 0.000

=====

[15]
PBE InFeAu2, relaxed; density of states at the Fermi level = 0.7250 states/eV per atom; formation energy = 78 meV/atom; crystal system = orthorhombic; SG = Cmmm, No. 65
1.0
-0.894 -2.624 -3.164
4.032 0.081 -1.195
0.762 -3.103 2.356
Au In Fe
2 1 1
Cartesian
0.000 0.000 0.000
1.569 -1.272 -2.179
2.397 -1.511 0.581
-0.066 -2.863 -0.404

=====

[16]
PBE InFeAu2, relaxed; density of states at the Fermi level = 1.1018 states/eV per atom; formation energy = 143 meV/atom; crystal system = cubic; SG = F-43m, No. 216
1.0
4.639 0.000 0.000
2.320 4.018 0.000
2.320 1.339 3.788
Au Fe In
2 1 1
Cartesian
6.959 4.018 2.841
0.000 0.000 0.000
4.639 2.678 1.894
2.320 1.339 0.947

=====

[17]
PBE InFeAu2, relaxed; density of states at the Fermi level = 1.2257 states/eV per atom; formation energy = 120 meV/atom; crystal system = tetragonal; SG = I-4m2, No. 119
1.0
-1.669 3.047 -3.681
1.146 -2.005 -4.504
-2.291 -1.941 4.075
Fe Au In
1 2 1
Cartesian
-0.261 0.521 -4.093
0.000 0.000 0.000
-0.703 -1.712 -2.261
-2.111 0.814 -1.849

=====

[18]
PBE InFeAu, relaxed; density of states at the Fermi level = 0.7274 states/eV per atom; formation energy = 234 meV/atom; crystal system = trigonal; SG = P3m1, No. 156
1.0
4.502 0.000 0.000
-2.251 3.899 0.000
0.000 0.000 3.031
In Fe Au
1 1 1
Cartesian
0.000 2.599 2.048
2.251 1.300 0.945
0.000 0.000 0.038

=====

[19]
PBE InFe2Au2, relaxed; density of states at the Fermi level = 0.6693 states/eV per atom; formation energy = 210 meV/atom; crystal system = tetragonal; SG = P4/mbm, No. 127
1.0
-5.188 -4.065 -1.970
0.079 -3.080 6.150
-2.373 2.426 1.245
Au Fe In
4 4 2
Cartesian
-2.879 -0.651 1.027
-5.461 -3.170 1.013
-4.603 -4.068 4.398
-2.022 -1.550 4.413
-3.196 -2.875 -0.492
-1.913 -4.270 4.673
-0.582 -1.656 2.118
-4.528 -5.489 2.063
0.000 0.000 0.000
-2.555 -3.573 2.090

=====

[20]
PBE In2FeAu2, relaxed; density of states at the Fermi level = 0.8506 states/eV per atom; formation energy = 169 meV/atom; crystal system = tetragonal; SG = P4/mbm, No. 127
1.0
-2.692 5.930 -2.884
-4.430 -3.934 -3.954
-2.767 0.170 2.931
Au In Fe
4 4 2
Cartesian
-4.754 -1.255 -4.415
-1.966 -0.552 -1.823
-5.156 2.548 -5.014
-2.368 3.252 -2.423
-3.020 1.402 -0.155
-5.101 3.715 -2.253
-4.788 -1.549 -1.653
-6.869 0.764 -3.752
0.000 0.000 0.000
-3.561 0.998 -3.419

=====

[21]
PBE In3FeAu, relaxed; density of states at the Fermi level = 1.5726 states/eV per atom; formation energy = 312 meV/atom; crystal system = cubic; energy relative to the lowest polymorph listed for this composition = 0.00 kcal/mol of atoms; SG = Pm-3m, No. 221
1.0
-3.782 -3.157 0.709
2.872 -3.778 -1.501
1.490 -0.731 4.693
Fe In Au
1 3 1
Cartesian
0.000 0.000 0.000
-1.891 -1.579 0.355
0.745 -0.365 2.346
1.436 -1.889 -0.750
0.290 -3.833 1.951